LiLuCoAs | PBE | optimized geometry

```
LiLuCoAs
1.0
1.125 -4.054 1.064
-0.907 -1.536 3.956
-3.056 -3.040 0.499
As Co Li Lu
1 1 1 1
Cartesian
0.000 0.000 0.000
-0.710 -2.157 1.380
-2.129 -6.472 4.139
-1.419 -4.315 2.759
```

Output
Spin magnetization   0.001 μB per formula unit
ΔE to the lowest computed polymorph   0 kJ/mol of formula units